Here is crystalline DyHo14Tm at its relaxed geometry from Alexandria. Energies are from PBE-GGA.

Cell lengths 7.062, 7.062, 11.349 Å; angles 90.00, 90.00, 119.98 degrees
Fractional coordinates of all 16 atoms:
Tm1 0.208 0.792 0.500
Ho1 0.375 0.125 0.750
Ho2 0.542 0.958 0.000
Ho3 0.375 0.625 0.749
Ho4 0.542 0.458 0.000
Ho5 0.208 0.292 0.500
Ho6 0.375 0.125 0.250
Ho7 0.875 0.125 0.750
Ho8 0.375 0.625 0.251
Ho9 0.708 0.792 0.500
Ho10 0.875 0.625 0.250
Ho11 0.875 0.625 0.750
Dy1 0.708 0.292 0.500
Ho12 0.042 0.458 0.000
Ho13 0.042 0.958 0.000
Ho14 0.875 0.125 0.250

## Properties
DOS at the Fermi energy in states/eV per cell: 19.9
Energy in eV per cell: -73.10